! TiZnNiO4 PBE with a Hubbard U optimized geometry; values from VASP
&SYSTEM
  ibrav = 0, nat = 14, ntyp = 4
/
ATOMIC_SPECIES
Ti 47.87 Ti.upf
Zn 65.41 Zn.upf
Ni 58.69 Ni.upf
O 16.00 O.upf
CELL_PARAMETERS angstrom
5.961 0.000 0.000
2.980 5.219 0.085
2.980 1.671 4.945
ATOMIC_POSITIONS angstrom
Ti 0.000 0.000 0.000
Ti 2.980 3.445 2.515
Zn 5.961 3.397 0.617
Zn 5.961 3.492 4.412
Ni 4.471 0.835 2.473
Ni 1.490 0.835 2.473
O 8.941 5.071 3.590
O 5.961 5.370 3.808
O 5.961 1.520 1.221
O 2.980 1.818 1.439
O 4.313 4.337 1.304
O 7.608 4.337 1.304
O 4.313 2.552 3.726
O 7.608 2.552 3.726
! Spin magnetization, μB/cell: 4.00
! VASP energy, eV/atom: -6.5414
! Space group: Imma, No. 74
! Crystal system: orthorhombic